No. 1
This record from Alexandria via LeMat-Bulk describes AcTl2Sb after structural relaxation. The functional is GGA-PBE.

E ... -0.2291 Ry/atom
Polymorph energy (0 for the lowest one) ... 2.45 eV per formula unit
Crystal system ... trigonal

abc: 3.7919 3.7919 34.7782
angles: 90.00 90.00 120.00
Fractional coordinates of all 12 atoms:
Ac: 0.0000 0.0000 0.0000
Ac: 0.3333 0.6667 0.6667
Ac: 0.6667 0.3333 0.3333
Tl: 0.0000 0.0000 0.0978
Tl: 0.0000 0.0000 0.9022
Tl: 0.3333 0.6667 0.5689
Tl: 0.3333 0.6667 0.7644
Tl: 0.6667 0.3333 0.2356
Tl: 0.6667 0.3333 0.4311
Sb: 0.0000 0.0000 0.5000
Sb: 0.3333 0.6667 0.1667
Sb: 0.6667 0.3333 0.8333

No. 2
This record from Alexandria via LeMat-Bulk describes Ac4Tl2Sb after structural relaxation. The functional is GGA-PBE.

E ... -0.3047 Ry/atom
Crystal system ... tetragonal

abc: 8.8263 8.8263 8.8263
angles: 109.44 109.44 109.53
Fractional coordinates of all 14 atoms:
Ac: 0.1230 0.2335 0.7491
Ac: 0.1240 0.7344 0.7509
Ac: 0.2656 0.0165 0.3895
Ac: 0.4844 0.3740 0.2509
Ac: 0.6260 0.8770 0.1105
Ac: 0.6270 0.8760 0.6105
Ac: 0.7665 0.5156 0.8895
Ac: 0.9835 0.3730 0.2491
Tl: 0.2494 0.6250 0.1244
Tl: 0.3750 0.4994 0.6244
Tl: 0.5006 0.1250 0.8756
Tl: 0.8750 0.7506 0.3756
Sb: 0.0000 0.0000 0.0000
Sb: 0.7500 0.2500 0.5000

No. 3
This record from Alexandria via LeMat-Bulk describes AcTl2Sb after structural relaxation. The functional is GGA-PBE.

E ... -0.2549 Ry/atom
Polymorph energy (0 for the lowest one) ... 1.04 eV per formula unit
Crystal system ... tetragonal

abc: 4.1930 4.1930 7.1584
angles: 90.00 90.00 90.00
Fractional coordinates of all 4 atoms:
Ac: 0.0000 0.0000 0.0000
Tl: 0.5000 0.5000 0.2816
Tl: 0.5000 0.5000 0.7184
Sb: 0.0000 0.0000 0.5000

No. 4
This record from Alexandria via LeMat-Bulk describes AcTl2Sb after structural relaxation. The functional is GGA-PBE.

E ... -0.2542 Ry/atom
Polymorph energy (0 for the lowest one) ... 1.09 eV per formula unit
Crystal system ... cubic

abc: 8.0031 8.0031 8.0031
angles: 90.00 90.00 90.00
Fractional coordinates of all 16 atoms:
Ac: 0.0000 0.0000 0.0000
Ac: 0.0000 0.5000 0.5000
Ac: 0.5000 0.0000 0.5000
Ac: 0.5000 0.5000 0.0000
Tl: 0.2500 0.2500 0.2500
Tl: 0.2500 0.2500 0.7500
Tl: 0.2500 0.7500 0.2500
Tl: 0.2500 0.7500 0.7500
Tl: 0.7500 0.2500 0.2500
Tl: 0.7500 0.2500 0.7500
Tl: 0.7500 0.7500 0.2500
Tl: 0.7500 0.7500 0.7500
Sb: 0.0000 0.0000 0.5000
Sb: 0.0000 0.5000 0.0000
Sb: 0.5000 0.0000 0.0000
Sb: 0.5000 0.5000 0.5000

No. 5
This record from Alexandria via LeMat-Bulk describes Ac12Tl6Sb after structural relaxation. The functional is GGA-PBE.

E ... -0.2704 Ry/atom
Crystal system ... trigonal

abc: 9.6570 9.6570 9.6570
angles: 99.61 99.61 99.61
Fractional coordinates of all 19 atoms:
Ac: 0.0435 0.6690 0.9222
Ac: 0.0778 0.9565 0.3310
Ac: 0.1852 0.4192 0.5597
Ac: 0.3310 0.0778 0.9565
Ac: 0.4192 0.5597 0.1852
Ac: 0.4403 0.8148 0.5808
Ac: 0.5597 0.1852 0.4192
Ac: 0.5808 0.4403 0.8148
Ac: 0.6690 0.9222 0.0435
Ac: 0.8148 0.5808 0.4403
Ac: 0.9222 0.0435 0.6690
Ac: 0.9565 0.3310 0.0778
Tl: 0.1320 0.6260 0.3122
Tl: 0.3122 0.1320 0.6260
Tl: 0.3740 0.6878 0.8680
Tl: 0.6260 0.3122 0.1320
Tl: 0.6878 0.8680 0.3740
Tl: 0.8680 0.3740 0.6878
Sb: 0.0000 0.0000 0.0000

No. 6
This record from Alexandria via LeMat-Bulk describes Ac5Tl2Sb after structural relaxation. The functional is GGA-PBE.

E ... -0.3015 Ry/atom
Crystal system ... orthorhombic

abc: 7.6679 14.2677 5.5778
angles: 90.00 90.00 90.00
Fractional coordinates of all 16 atoms:
Ac: 0.0000 0.0000 0.0000
Ac: 0.1413 0.2785 0.0000
Ac: 0.1737 0.5933 0.5000
Ac: 0.3263 0.0933 0.5000
Ac: 0.3587 0.7785 0.0000
Ac: 0.5000 0.5000 0.0000
Ac: 0.6413 0.2215 0.0000
Ac: 0.6737 0.9067 0.5000
Ac: 0.8263 0.4067 0.5000
Ac: 0.8587 0.7215 0.0000
Tl: 0.1093 0.8451 0.5000
Tl: 0.3907 0.3451 0.5000
Tl: 0.6093 0.6549 0.5000
Tl: 0.8907 0.1549 0.5000
Sb: 0.0000 0.5000 0.0000
Sb: 0.5000 0.0000 0.0000

No. 7
This record from Alexandria via LeMat-Bulk describes Ac2TlSb after structural relaxation. The functional is GGA-PBE.

E ... -0.3197 Ry/atom
Polymorph energy (0 for the lowest one) ... 0.38 eV per formula unit
Crystal system ... tetragonal

abc: 4.2485 4.2485 7.6660
angles: 90.00 90.00 90.00
Fractional coordinates of all 4 atoms:
Ac: 0.0000 0.0000 0.2396
Ac: 0.0000 0.0000 0.7604
Tl: 0.5000 0.5000 0.5000
Sb: 0.5000 0.5000 0.0000

No. 8
This record from Alexandria via LeMat-Bulk describes AcTlSb after structural relaxation. The functional is GGA-PBE.

E ... -0.2924 Ry/atom
Polymorph energy (0 for the lowest one) ... 0.17 eV per formula unit
Crystal system ... tetragonal

abc: 4.2021 4.2021 11.1271
angles: 90.00 90.00 90.00
Fractional coordinates of all 6 atoms:
Ac: 0.0000 0.0000 0.0000
Ac: 0.5000 0.5000 0.5000
Tl: 0.0000 0.0000 0.6890
Tl: 0.5000 0.5000 0.1890
Sb: 0.0000 0.0000 0.3297
Sb: 0.5000 0.5000 0.8297

| no. | volume (Å³/atom) | uncorrected formation energy (eV per atom) |
| --- | --- | --- |
| 1 | 36.088 | 0.1245 |
| 2 | 37.808 | -0.5327 |
| 3 | 31.463 | -0.2278 |
| 4 | 32.038 | -0.2173 |
| 5 | 45.141 | -0.1193 |
| 6 | 38.139 | -0.4272 |
| 7 | 34.592 | -0.6727 |
| 8 | 32.746 | -0.4465 |